# In2Pt

A relaxed structure of In2Pt (PBE, the Alexandria database).

E_tot ... -48.65 eV for the cell shown
N(E_F) ... 0.4349 states/eV/atom

Cell lengths 3.676, 14.298, 5.267 Å; angles 90.00, 90.00, 90.00 degrees
Space group Cmcm (No. 63)
Inequivalent atoms, fractional coordinates:
1 In 0.000 0.054 0.250 [4 per cell]
2 In 0.000 0.344 0.250 [4 per cell]
3 Pt 0.000 0.304 0.750 [4 per cell]